A relaxed structure of MgNi2Pb2, computed with PBE.

Computed properties:
Electronic total energy in eV per atom: -3.96
Size of the total moment in Bohr magnetons per cell: 0.00
Energy above the lowest structure with this stoichiometry in eV/atom: 0.071
Formation enthalpy at 0 K in kJ/mol of formula units: 75
Space group: I4/mmm (139)

a = 3.5048 Å, b = 3.5048 Å, c = 16.9924 Å
α = 90.00°, β = 90.00°, γ = 90.00°
Fractional positions:
1 Mg 0.0000 0.0000 0.0000
2 Mg 0.5000 0.5000 0.5000
3 Ni 0.0000 0.5000 0.2500
4 Ni 0.0000 0.5000 0.7500
5 Ni 0.5000 0.0000 0.2500
6 Ni 0.5000 0.0000 0.7500
7 Pb 0.0000 0.0000 0.3731
8 Pb 0.0000 0.0000 0.6269
9 Pb 0.5000 0.5000 0.1269
10 Pb 0.5000 0.5000 0.8731